Record 1
VASP calculation (GGA-PBE) on an optimized crystal structure of Ti3FeP.

Summary:
E above lowest polymorph ... 0.0000 eV/atom
DOS at the Fermi energy ... 4.10 states/eV per cell
Uncorrected energy ... -7.460 eV per atom
ΔE_f ... 25 kJ/mol of formula units
SG ... Pm-3m, No. 221
Spin magnetization ... 2.49 Bohr magnetons per cell

Cell and atoms, written as CIF:
```
data_Ti3FeP
_symmetry_space_group_name_H-M 'P 1'
_symmetry_Int_Tables_number 1
_symmetry_space_group_name_Hall 'P 1'
_cell_length_a 4.5005
_cell_length_b 4.5005
_cell_length_c 4.5005
_cell_angle_alpha 90.00
_cell_angle_beta 90.00
_cell_angle_gamma 90.00
loop_
_atom_site_label
_atom_site_fract_x
_atom_site_fract_y
_atom_site_fract_z
Ti1 0.0000 0.0000 0.5000
Ti2 0.0000 0.5000 0.0000
Ti3 0.5000 0.0000 0.0000
Fe1 0.5000 0.5000 0.5000
P1 0.0000 0.0000 0.0000
```

***

Record 2
VASP calculation (GGA-PBE) on an optimized crystal structure of Ca2TiBr.

Summary:
E above lowest polymorph ... 0.0000 eV/atom
DOS at the Fermi energy ... 8.71 states/eV per cell
E_form (uncorrected) ... 0.2 eV/f.u.
Uncorrected energy ... -3.330 eV per atom
SG ... I-42d, No. 122
Spin magnetization ... 6.84 Bohr magnetons per cell

Cell and atoms, written as CIF:
```
data_Ca2TiBr
_symmetry_space_group_name_H-M 'P 1'
_symmetry_Int_Tables_number 1
_symmetry_space_group_name_Hall 'P 1'
_cell_length_a 7.0241
_cell_length_b 7.0241
_cell_length_c 7.0241
_cell_angle_alpha 105.06
_cell_angle_beta 105.06
_cell_angle_gamma 118.70
loop_
_atom_site_label
_atom_site_fract_x
_atom_site_fract_y
_atom_site_fract_z
Ca1 0.0847 0.6250 0.9597
Ca2 0.3750 0.3347 0.4597
Ca3 0.6653 0.1250 0.0403
Ca4 0.8750 0.9153 0.5403
Ti1 0.2500 0.7500 0.5000
Ti2 0.5000 0.5000 0.0000
Br1 0.0000 0.0000 0.0000
Br2 0.7500 0.2500 0.5000
```

***

Record 3
VASP calculation (GGA-PBE) on an optimized crystal structure of K2SrH6Rh.

Summary:
DOS at the Fermi energy ... 1.80 states/eV per cell
Uncorrected energy ... -3.482 eV per atom
SG ... P-3m1, No. 164
Spin magnetization ... 0.83 Bohr magnetons per cell

Cell and atoms, written as CIF:
```
data_K2SrH6Rh
_symmetry_space_group_name_H-M 'P 1'
_symmetry_Int_Tables_number 1
_symmetry_space_group_name_Hall 'P 1'
_cell_length_a 5.8714
_cell_length_b 5.8714
_cell_length_c 6.2739
_cell_angle_alpha 90.00
_cell_angle_beta 90.00
_cell_angle_gamma 120.00
loop_
_atom_site_label
_atom_site_fract_x
_atom_site_fract_y
_atom_site_fract_z
K1 0.3333 0.6667 0.3801
K2 0.6667 0.3333 0.6199
Sr1 0.0000 0.0000 0.0000
H1 0.1338 0.2676 0.6591
H2 0.1338 0.8662 0.6591
H3 0.2676 0.1338 0.3409
H4 0.7324 0.8662 0.6591
H5 0.8662 0.1338 0.3409
H6 0.8662 0.7324 0.3409
Rh1 0.0000 0.0000 0.5000
```

***

Record 4
VASP calculation (GGA-PBE) on an optimized crystal structure of Al2HgPb2.

Summary:
E above lowest polymorph ... 0.1282 eV/atom
DOS at the Fermi energy ... 5.61 states/eV per cell
Uncorrected energy ... -2.778 eV per atom
ΔE_f ... 127 kJ/mol of formula units
SG ... P4/mbm, No. 127
Spin magnetization ... 0.00 Bohr magnetons per cell

Cell and atoms, written as CIF:
```
data_Al2HgPb2
_symmetry_space_group_name_H-M 'P 1'
_symmetry_Int_Tables_number 1
_symmetry_space_group_name_Hall 'P 1'
_cell_length_a 8.8358
_cell_length_b 8.8358
_cell_length_c 3.4138
_cell_angle_alpha 90.00
_cell_angle_beta 90.00
_cell_angle_gamma 90.00
loop_
_atom_site_label
_atom_site_fract_x
_atom_site_fract_y
_atom_site_fract_z
Al1 0.1115 0.3885 0.0000
Al2 0.3885 0.8885 0.0000
Al3 0.6115 0.1115 0.0000
Al4 0.8885 0.6115 0.0000
Hg1 0.0000 0.0000 0.5000
Hg2 0.5000 0.5000 0.5000
Pb1 0.1825 0.6825 0.5000
Pb2 0.3175 0.1825 0.5000
Pb3 0.6825 0.8175 0.5000
Pb4 0.8175 0.3175 0.5000
```

***

Record 5
VASP calculation (GGA-PBE) on an optimized crystal structure of AcReRh.

Summary:
DOS at the Fermi energy ... 7.49 states/eV per cell
Uncorrected energy ... -7.630 eV per atom
ΔE_f ... 98 kJ/mol of formula units
SG ... Cmmm, No. 65
Spin magnetization ... 0.28 Bohr magnetons per cell

Cell and atoms, written as CIF:
```
data_AcReRh
_symmetry_space_group_name_H-M 'P 1'
_symmetry_Int_Tables_number 1
_symmetry_space_group_name_Hall 'P 1'
_cell_length_a 3.4376
_cell_length_b 3.4376
_cell_length_c 11.2328
_cell_angle_alpha 90.00
_cell_angle_beta 90.00
_cell_angle_gamma 90.32
loop_
_atom_site_label
_atom_site_fract_x
_atom_site_fract_y
_atom_site_fract_z
Ac1 0.0000 0.0000 0.1784
Ac2 0.0000 0.0000 0.8216
Re1 0.5000 0.5000 0.3932
Re2 0.5000 0.5000 0.6068
Rh1 0.0000 0.0000 0.5000
Rh2 0.5000 0.5000 0.0000
```

***

Record 6
VASP calculation (GGA-PBE) on an optimized crystal structure of Zr5Zn4Si4.

Summary:
DOS at the Fermi energy ... 3.88 states/eV per cell
E_form (uncorrected) ... -7.7 eV/f.u.
Uncorrected energy ... -5.944 eV per atom
SG ... I4/m, No. 87
Spin magnetization ... 0.00 Bohr magnetons per cell

Cell and atoms, written as CIF:
```
data_Zr5Zn4Si4
_symmetry_space_group_name_H-M 'P 1'
_symmetry_Int_Tables_number 1
_symmetry_space_group_name_Hall 'P 1'
_cell_length_a 7.8947
_cell_length_b 7.8947
_cell_length_c 7.8947
_cell_angle_alpha 93.36
_cell_angle_beta 93.36
_cell_angle_gamma 152.00
loop_
_atom_site_label
_atom_site_fract_x
_atom_site_fract_y
_atom_site_fract_z
Zr1 0.0000 0.0000 0.0000
Zr2 0.2989 0.6289 0.9278
Zr3 0.3711 0.2989 0.6700
Zr4 0.6289 0.7011 0.3300
Zr5 0.7011 0.3711 0.0722
Zn1 0.1050 0.4132 0.5182
Zn2 0.4132 0.8950 0.3082
Zn3 0.5868 0.1050 0.6918
Zn4 0.8950 0.5868 0.4818
Si1 0.0599 0.7563 0.8162
Si2 0.2437 0.0599 0.3037
Si3 0.7563 0.9401 0.6963
Si4 0.9401 0.2437 0.1838
```

***

Record 7
VASP calculation (GGA-PBE) on an optimized crystal structure of Ac4Ge2As.

Summary:
E above lowest polymorph ... 0.0000 eV/atom
DOS at the Fermi energy ... 11.22 states/eV per cell
Uncorrected energy ... -5.200 eV per atom
ΔE_f ... -587 kJ/mol of formula units
SG ... I-42d, No. 122
Spin magnetization ... 0.00 Bohr magnetons per cell

Cell and atoms, written as CIF:
```
data_Ac4Ge2As
_symmetry_space_group_name_H-M 'P 1'
_symmetry_Int_Tables_number 1
_symmetry_space_group_name_Hall 'P 1'
_cell_length_a 8.4183
_cell_length_b 8.4183
_cell_length_c 8.4183
_cell_angle_alpha 109.38
_cell_angle_beta 109.38
_cell_angle_gamma 109.66
loop_
_atom_site_label
_atom_site_fract_x
_atom_site_fract_y
_atom_site_fract_z
Ac1 0.1227 0.0030 0.7473
Ac2 0.1254 0.5058 0.7527
Ac3 0.2558 0.3754 0.2527
Ac4 0.4942 0.2470 0.6197
Ac5 0.6246 0.8773 0.8803
Ac6 0.6273 0.8746 0.3803
Ac7 0.7530 0.3727 0.2473
Ac8 0.9970 0.7442 0.1197
Ge1 0.0024 0.1250 0.3774
Ge2 0.3750 0.9976 0.1226
Ge3 0.7476 0.6250 0.6226
Ge4 0.8750 0.2524 0.8774
As1 0.2500 0.7500 0.5000
As2 0.5000 0.5000 0.0000
```

***

Record 8
VASP calculation (GGA-PBE) on an optimized crystal structure of Ac8SbP3Se4.

Summary:
DOS at the Fermi energy ... 6.31 states/eV per cell
E_form (uncorrected) ... -26.9 eV/f.u.
Uncorrected energy ... -5.882 eV per atom
SG ... R-3m, No. 166
Spin magnetization ... 0.00 Bohr magnetons per cell

Cell and atoms, written as CIF:
```
data_Ac8SbP3Se4
_symmetry_space_group_name_H-M 'P 1'
_symmetry_Int_Tables_number 1
_symmetry_space_group_name_Hall 'P 1'
_cell_length_a 9.0239
_cell_length_b 9.0239
_cell_length_c 9.0239
_cell_angle_alpha 59.92
_cell_angle_beta 59.92
_cell_angle_gamma 59.92
loop_
_atom_site_label
_atom_site_fract_x
_atom_site_fract_y
_atom_site_fract_z
Ac1 0.2341 0.7532 0.7532
Ac2 0.2441 0.2441 0.2441
Ac3 0.2468 0.2468 0.7659
Ac4 0.2468 0.7659 0.2468
Ac5 0.7532 0.2341 0.7532
Ac6 0.7532 0.7532 0.2341
Ac7 0.7559 0.7559 0.7559
Ac8 0.7659 0.2468 0.2468
Sb1 0.5000 0.5000 0.5000
P1 0.0000 0.0000 0.5000
P2 0.0000 0.5000 0.0000
P3 0.5000 0.0000 0.0000
Se1 0.0000 0.0000 0.0000
Se2 0.0000 0.5000 0.5000
Se3 0.5000 0.0000 0.5000
Se4 0.5000 0.5000 0.0000
```